No. 1
DFT (PBE) results for a relaxed MgZnFe crystal.

- SG: P3m1, No. 156
- ρ: 5.40 g/cm³
- Final energy: -10.8 eV for the cell shown
- Volume: 14.93 A^3/atom
- ΔH_f (0 K): 0.19 eV/atom
- Magnetic moment: 2.2 μB/f.u.

abc: 4.3410 4.3410 2.7444
angles: 90.00 90.00 120.00
With the nearest neighbours (Å) after each atom.
Element x y z (fractional)
Fe 0.0000 0.0000 0.9443  3 Zn 2.59, 3 Mg 2.74, 2 Fe 2.74
Mg 0.6667 0.3333 0.3499  3 Zn 2.69, 6 Fe 2.74-2.99, 2 Mg 2.74
Zn 0.3333 0.6667 0.7058  3 Fe 2.59, 3 Mg 2.69, 2 Zn 2.74

***

No. 2
DFT (PBE) results for a relaxed MgZn2Fe crystal.

- SG: Cm, No. 8
- ρ: 5.94 g/cm³
- Final energy: -12.3 eV for the cell shown
- Volume: 14.75 A^3/atom
- ΔH_f (0 K): 0.09 eV/atom
- Magnetic moment: 2.1 μB/f.u.

abc: 4.9150 4.9150 4.6152
angles: 74.06 74.06 33.52
With the nearest neighbours (Å) after each atom.
Element x y z (fractional)
Fe 0.4900 0.4900 0.5178  6 Zn 2.59-2.74, 3 Mg 2.77-2.90, 2 Fe 2.83
Mg 0.2466 0.2466 0.2500  7 Zn 2.66-2.81, 3 Fe 2.77-2.90, 2 Mg 2.83
Zn 0.0104 0.0104 0.9986  4 Zn 2.67-2.83, 4 Fe 2.69-2.74, 3 Mg 2.79-2.81
Zn 0.7531 0.7531 0.7335  2 Fe 2.59, 4 Mg 2.66-2.76, 4 Zn 2.67-2.83

***

No. 3
DFT (PBE) results for a relaxed Mg3ZnFe crystal.

- SG: Pm-3m, No. 221
- ρ: 2.77 g/cm³
- Final energy: -11.0 eV for the cell shown
- Volume: 23.26 A^3/atom
- Energy relative to the lowest polymorph listed for this composition: 0.073 eV/atom
- ΔH_f (0 K): 0.71 eV/atom
- Magnetic moment: 3.1 μB/f.u.

abc: 4.8810 4.8810 4.8810
angles: 90.00 90.00 90.00
With the nearest neighbours (Å) after each atom.
Element x y z (fractional)
Mg 0.0000 0.5000 0.0000  2 Zn 2.44
Mg 0.0000 0.0000 0.5000  2 Zn 2.44
Mg 0.5000 0.0000 0.0000  2 Zn 2.44
Zn 0.0000 0.0000 0.0000  6 Mg 2.44
Fe 0.5000 0.5000 0.5000  12 Mg 3.45

***

No. 4
DFT (PBE) results for a relaxed MgZnFe2 crystal.

- SG: F-43m, No. 216
- ρ: 6.14 g/cm³
- Final energy: -19.2 eV for the cell shown
- Volume: 13.61 A^3/atom
- ΔH_f (0 K): 0.14 eV/atom
- Magnetic moment: 4.4 μB/f.u.

abc: 4.2539 4.2539 4.2539
angles: 60.00 60.00 60.00
With the nearest neighbours (Å) after each atom.
Element x y z (fractional)
Fe 0.0000 0.0000 0.0000  4 Zn 2.60, 4 Fe 2.60
Fe 0.7500 0.7500 0.7500  4 Fe 2.60, 4 Mg 2.60
Mg 0.5000 0.5000 0.5000  4 Fe 2.60, 4 Zn 2.60
Zn 0.2500 0.2500 0.2500  4 Mg 2.60, 4 Fe 2.60

***

No. 5
DFT (PBE) results for a relaxed MgZn2Fe crystal.

- SG: Pmm2, No. 25
- ρ: 5.91 g/cm³
- Final energy: -12.2 eV for the cell shown
- Volume: 14.82 A^3/atom
- ΔH_f (0 K): 0.10 eV/atom
- Magnetic moment: 2.1 μB/f.u.

abc: 2.7807 3.8744 5.5032
angles: 90.00 90.00 90.00
With the nearest neighbours (Å) after each atom.
Element x y z (fractional)
Fe 0.0000 0.0000 0.4856  6 Zn 2.62-2.88, 4 Mg 2.77, 2 Fe 2.78
Mg 0.5000 0.5000 0.7403  6 Zn 2.62-2.89, 4 Fe 2.77, 2 Mg 2.78
Zn 0.0000 0.0000 0.0090  2 Fe 2.62-2.88, 6 Zn 2.77-2.78, 4 Mg 2.81
Zn 0.5000 0.5000 0.2651  2 Mg 2.62-2.89, 4 Fe 2.68, 6 Zn 2.77-2.78

***

No. 6
DFT (PBE) results for a relaxed MgZnFe2 crystal.

- SG: Cmm2, No. 35
- ρ: 5.92 g/cm³
- Final energy: -19.3 eV for the cell shown
- Volume: 14.12 A^3/atom
- ΔH_f (0 K): 0.13 eV/atom
- Magnetic moment: 4.8 μB/f.u.

abc: 2.6611 2.6611 8.2599
angles: 90.00 90.00 105.13
With the nearest neighbours (Å) after each atom.
Element x y z (fractional)
Fe 0.0000 0.0000 0.0117  6 Fe 2.41-2.66, 2 Zn 2.56
Fe 0.5000 0.5000 0.2283  6 Fe 2.41-2.66, 2 Mg 2.69
Mg 0.0000 0.0000 0.4880  4 Mg 2.66, 2 Fe 2.69, 2 Zn 2.85
Zn 0.5000 0.5000 0.7720  2 Fe 2.56, 4 Zn 2.66, 2 Mg 2.85

***

No. 7
DFT (PBE) results for a relaxed Mg2ZnFe crystal.

- SG: I-4m2, No. 119
- ρ: 4.37 g/cm³
- Final energy: -12.3 eV for the cell shown
- Volume: 16.15 A^3/atom
- ΔH_f (0 K): 0.16 eV/atom
- Magnetic moment: 2.0 μB/f.u.

abc: 5.0199 5.0199 5.0199
angles: 133.90 133.90 67.24
With the nearest neighbours (Å) after each atom.
Element x y z (fractional)
Fe 0.7500 0.2500 0.5000  8 Mg 2.78-2.87, 4 Zn 2.87
Mg 0.0000 0.0000 0.0000  4 Zn 2.78, 4 Fe 2.87, 4 Mg 2.87
Mg 0.2500 0.7500 0.5000  4 Fe 2.78, 4 Zn 2.87, 4 Mg 2.87
Zn 0.5000 0.5000 0.0000  8 Mg 2.78-2.87, 4 Fe 2.87

***

No. 8
DFT (PBE) results for a relaxed Mg2ZnFe crystal.

- SG: F-43m, No. 216
- ρ: 4.34 g/cm³
- Final energy: -12.1 eV for the cell shown
- Volume: 16.25 A^3/atom
- ΔH_f (0 K): 0.19 eV/atom
- Magnetic moment: 2.4 μB/f.u.

abc: 4.5130 4.5130 4.5130
angles: 60.00 60.00 60.00
With the nearest neighbours (Å) after each atom.
Element x y z (fractional)
Fe 0.5000 0.5000 0.5000  4 Mg 2.76, 4 Zn 2.76
Mg 0.0000 0.0000 0.0000  4 Zn 2.76, 4 Mg 2.76
Mg 0.7500 0.7500 0.7500  4 Mg 2.76, 4 Fe 2.76
Zn 0.2500 0.2500 0.2500  4 Fe 2.76, 4 Mg 2.76